Compound: Ac3RuS2
Source: Alexandria
Functional: PBE-GGA
Structure: optimized geometry

Lattice parameters (Å, degrees): 7.5847 7.5847 7.4061 99.97 99.97 118.66
Last column: nearest neighbours and their distance in Å.
Element x y z (fractional)
Ac 0.0000 0.5000 0.5000  2 Ru 2.91, 4 S 3.10
Ac 0.1507 0.3052 0.0074  2 Ru 2.93-3.15, 3 S 3.06-3.16
Ac 0.3052 0.1507 0.5074  2 Ru 2.93-3.15, 3 S 3.06-3.16
Ac 0.5000 0.0000 0.0000  2 Ru 2.91, 4 S 3.10
Ac 0.6948 0.8493 0.4926  2 Ru 2.93-3.15, 3 S 3.06-3.16
Ac 0.8493 0.6948 0.9926  2 Ru 2.93-3.15, 3 S 3.06-3.16
Ru 0.1018 0.8982 0.7500  6 Ac 2.91-3.15
Ru 0.8982 0.1018 0.2500  6 Ac 2.91-3.15
S 0.2537 0.7463 0.2500  6 Ac 3.10-3.16
S 0.4189 0.5811 0.7500  6 Ac 3.06-3.29
S 0.5811 0.4189 0.2500  6 Ac 3.06-3.29
S 0.7463 0.2537 0.7500  6 Ac 3.10-3.16



Compound: Ac12Ru5S3
Source: Alexandria
Functional: PBE-GGA
Structure: optimized geometry

Lattice parameters (Å, degrees): 15.3860 15.3860 15.3860 109.47 109.47 109.47
Last column: nearest neighbours and their distance in Å.
Element x y z (fractional)
Ac 0.0318 0.2090 0.1259  2 Ru 2.69-2.91
Ac 0.0318 0.3229 0.9060  2 Ru 2.69-2.91
Ac 0.0831 0.7090 0.6771  2 Ru 2.69-2.91
Ac 0.0831 0.8741 0.4060  2 Ru 2.69-2.91
Ac 0.0940 0.6259 0.4169  2 Ru 2.69-2.91
Ac 0.0940 0.9682 0.6771  2 Ru 2.69-2.91
Ac 0.1259 0.0318 0.2090  2 Ru 2.69-2.91
Ac 0.1259 0.5940 0.9169  2 Ru 2.69-2.91
Ac 0.1771 0.2090 0.5831  2 Ru 2.69-2.91
Ac 0.1771 0.4682 0.5940  2 Ru 2.69-2.91
Ac 0.2090 0.1259 0.0318  2 Ru 2.69-2.91
Ac 0.2090 0.5831 0.1771  2 Ru 2.69-2.91
Ac 0.2910 0.3229 0.9169  2 Ru 2.69-2.91
Ac 0.2910 0.4682 0.3741  2 Ru 2.69-2.91
Ac 0.3229 0.9060 0.0318  2 Ru 2.69-2.91
Ac 0.3229 0.9169 0.2910  2 Ru 2.69-2.91
Ac 0.3741 0.2910 0.4682  2 Ru 2.69-2.91
Ac 0.3741 0.5831 0.9060  2 Ru 2.69-2.91
Ac 0.4060 0.0831 0.8741  2 Ru 2.69-2.91
Ac 0.4060 0.8229 0.5318  2 Ru 2.69-2.91
Ac 0.4169 0.0940 0.6259  2 Ru 2.69-2.91
Ac 0.4169 0.8229 0.7910  2 Ru 2.69-2.91
Ac 0.4682 0.3741 0.2910  2 Ru 2.69-2.91
Ac 0.4682 0.5940 0.1771  2 Ru 2.69-2.91
Ac 0.5318 0.4060 0.8229  2 Ru 2.69-2.91
Ac 0.5318 0.6259 0.7090  2 Ru 2.69-2.91
Ac 0.5831 0.1771 0.2090  2 Ru 2.69-2.91
Ac 0.5831 0.9060 0.3741  2 Ru 2.69-2.91
Ac 0.5940 0.1771 0.4682  2 Ru 2.69-2.91
Ac 0.5940 0.9169 0.1259  2 Ru 2.69-2.91
Ac 0.6259 0.4169 0.0940  2 Ru 2.69-2.91
Ac 0.6259 0.7090 0.5318  2 Ru 2.69-2.91
Ac 0.6771 0.0831 0.7090  2 Ru 2.69-2.91
Ac 0.6771 0.0940 0.9682  2 Ru 2.69-2.91
Ac 0.7090 0.5318 0.6259  2 Ru 2.69-2.91
Ac 0.7090 0.6771 0.0831  2 Ru 2.69-2.91
Ac 0.7910 0.4169 0.8229  2 Ru 2.69-2.91
Ac 0.7910 0.8741 0.9682  2 Ru 2.69-2.91
Ac 0.8229 0.5318 0.4060  2 Ru 2.69-2.91
Ac 0.8229 0.7910 0.4169  2 Ru 2.69-2.91
Ac 0.8741 0.4060 0.0831  2 Ru 2.69-2.91
Ac 0.8741 0.9682 0.7910  2 Ru 2.69-2.91
Ac 0.9060 0.0318 0.3229  2 Ru 2.69-2.91
Ac 0.9060 0.3741 0.5831  2 Ru 2.69-2.91
Ac 0.9169 0.1259 0.5940  2 Ru 2.69-2.91
Ac 0.9169 0.2910 0.3229  2 Ru 2.69-2.91
Ac 0.9682 0.6771 0.0940  2 Ru 2.69-2.91
Ac 0.9682 0.7910 0.8741  2 Ru 2.69-2.91
Ru 0.0000 0.0000 0.0000  6 Ac 2.91
Ru 0.0000 0.0000 0.5000  6 Ac 2.91
Ru 0.0000 0.5000 0.0000  6 Ac 2.91
Ru 0.0000 0.5000 0.5000  6 Ac 2.91
Ru 0.1250 0.7500 0.8750  4 Ac 2.69
Ru 0.1250 0.8750 0.2500  4 Ac 2.69
Ru 0.2500 0.1250 0.8750  4 Ac 2.69
Ru 0.2500 0.6250 0.3750  4 Ac 2.69
Ru 0.3750 0.2500 0.6250  4 Ac 2.69
Ru 0.3750 0.6250 0.7500  4 Ac 2.69
Ru 0.5000 0.0000 0.0000  6 Ac 2.91
Ru 0.5000 0.0000 0.5000  6 Ac 2.91
Ru 0.5000 0.5000 0.0000  6 Ac 2.91
Ru 0.5000 0.5000 0.5000  6 Ac 2.91
Ru 0.6250 0.3750 0.2500  4 Ac 2.69
Ru 0.6250 0.7500 0.3750  4 Ac 2.69
Ru 0.7500 0.3750 0.6250  4 Ac 2.69
Ru 0.7500 0.8750 0.1250  4 Ac 2.69
Ru 0.8750 0.1250 0.7500  4 Ac 2.69
Ru 0.8750 0.2500 0.1250  4 Ac 2.69
S 0.1250 0.2500 0.3750  8 Ac 3.36-3.48
S 0.1250 0.3750 0.7500  8 Ac 3.36-3.48
S 0.2500 0.3750 0.1250  8 Ac 3.36-3.48
S 0.2500 0.8750 0.6250  8 Ac 3.36-3.48
S 0.3750 0.1250 0.2500  8 Ac 3.36-3.48
S 0.3750 0.7500 0.1250  8 Ac 3.36-3.48
S 0.6250 0.2500 0.8750  8 Ac 3.36-3.48
S 0.6250 0.8750 0.7500  8 Ac 3.36-3.48
S 0.7500 0.1250 0.3750  8 Ac 3.36-3.48
S 0.7500 0.6250 0.8750  8 Ac 3.36-3.48
S 0.8750 0.6250 0.2500  8 Ac 3.36-3.48
S 0.8750 0.7500 0.6250  8 Ac 3.36-3.48



Compound: Ac4RuSe2S
Source: Alexandria
Functional: PBE-GGA
Structure: optimized geometry

Lattice parameters (Å, degrees): 7.6849 4.3290 7.8145 90.00 107.41 90.00
Last column: nearest neighbours and their distance in Å.
Element x y z (fractional)
Ac 0.2327 0.0000 0.2255  2 Ru 3.02, 1 S 3.08, 3 Se 3.18-3.30
Ac 0.2420 0.5000 0.7711  1 Ru 2.94, 2 S 3.11, 2 Se 3.21
Ac 0.7580 0.5000 0.2289  1 Ru 2.94, 2 S 3.11, 2 Se 3.21
Ac 0.7673 0.0000 0.7745  2 Ru 3.02, 1 S 3.08, 3 Se 3.18-3.30
Ru 0.0000 0.5000 0.0000  6 Ac 2.94-3.02
Se 0.0000 0.0000 0.5000  6 Ac 3.18-3.21
Se 0.5000 0.5000 0.5000  6 Ac 3.30-3.31
S 0.5000 0.0000 0.0000  6 Ac 3.08-3.11



D(E_F) per entry: 8.48 51.37 4.79 states/eV per cell
Energy relative to the elements, uncorrected per entry: -8.0 -7.5 -11.6 eV per formula unit